Record 1
First-principles (GGA-PBE) data for a relaxed structure of NaNd, as listed in Alexandria via LeMat-Bulk.

Summary:
The calculation puts the mass density at 4.01 g cm⁻³. Its energy of formation from the pure elements is 0.199 eV per atom. The calculated total energy comes out at -2.84 eV per atom. For the polymorph energy (0 for the lowest one), the calculation gives 125 meV per atom.

a = 3.664 Å, b = 6.511 Å, c = 5.800 Å
α = 90.00°, β = 90.00°, γ = 90.00°
Positions (direct):
Na  0.750  0.562  0.250
Na  0.250  0.438  0.750
Nd  0.250  0.051  0.250
Nd  0.750  0.949  0.750

---

Record 2
First-principles (GGA-PBE) data for a relaxed structure of NaNd3Ni, as listed in Alexandria via LeMat-Bulk.

Summary:
The calculation puts the mass density at 5.05 g cm⁻³. Its energy of formation from the pure elements is 0.072 eV per atom. The calculated total energy comes out at -4.21 eV per atom.

a = 5.532 Å, b = 5.532 Å, c = 5.532 Å
α = 90.00°, β = 90.00°, γ = 90.00°
Positions (direct):
Ni  0.000  0.000  0.000
Nd  0.000  0.500  0.000
Nd  0.000  0.000  0.500
Nd  0.500  0.000  0.000
Na  0.500  0.500  0.500

---

Record 3
First-principles (GGA-PBE) data for a relaxed structure of NaNdNi4, as listed in Alexandria via LeMat-Bulk.

Summary:
The calculation puts the mass density at 7.34 g cm⁻³. Its energy of formation from the pure elements is -0.125 eV per atom. The calculated total energy comes out at -4.99 eV per atom.

a = 5.048 Å, b = 5.048 Å, c = 5.048 Å
α = 60.00°, β = 60.00°, γ = 60.00°
Positions (direct):
Ni  0.625  0.625  0.124
Ni  0.625  0.124  0.625
Ni  0.625  0.625  0.625
Ni  0.124  0.625  0.625
Nd  0.250  0.250  0.250
Na  0.000  0.000  0.000

---

> Look up the calculated total energy of the third one.

-4.99 eV per atom

---

> Among the records above, which one has the lowest calculated total energy?

NaNdNi4

---

Please write out number 1 again, unchanged.
First-principles (GGA-PBE) data for a relaxed structure of NaNd, as listed in Alexandria via LeMat-Bulk.

Summary:
The calculation puts the mass density at 4.01 g cm⁻³. Its energy of formation from the pure elements is 0.199 eV per atom. The calculated total energy comes out at -2.84 eV per atom. For the polymorph energy (0 for the lowest one), the calculation gives 125 meV per atom.

a = 3.664 Å, b = 6.511 Å, c = 5.800 Å
α = 90.00°, β = 90.00°, γ = 90.00°
Positions (direct):
Na  0.750  0.562  0.250
Na  0.250  0.438  0.750
Nd  0.250  0.051  0.250
Nd  0.750  0.949  0.750